! Pr3Pb2 | Alexandria | PBE | relaxed; values from VASP
! Space group = No. 164
! Electronic total energy = -4.76 eV/atom
! N(E_F) = 0.7614 states/eV per atom
&SYSTEM
  ibrav = 0, nat = 15, ntyp = 2
/
ATOMIC_SPECIES
Pb 207.20 Pb.upf
Pr 140.91 Pr.upf
ATOMIC_POSITIONS crystal
Pb 0.0139 0.0278 0.8194
Pb 0.9861 0.9722 0.1806
Pb 0.6806 0.3612 0.1528
Pb 0.3194 0.6388 0.8472
Pb 0.6528 0.3055 0.5140
Pb 0.3472 0.6945 0.4860
Pr 0.4907 0.9813 0.6761
Pr 0.1573 0.3146 0.0095
Pr 0.5000 0.0000 0.0000
Pr 0.8240 0.6479 0.3428
Pr 0.1760 0.3521 0.6572
Pr 0.1666 0.3333 0.3333
Pr 0.8334 0.6667 0.6667
Pr 0.8427 0.6854 0.9905
Pr 0.5093 0.0187 0.3239
CELL_PARAMETERS angstrom
5.5308 0.0000 0.0000
-2.7654 8.2285 0.7397
0.0000 -0.9947 11.6575